DFT (PBE) results for NaCu3Hg after structural relaxation.

## Properties
offset from the most stable computed form: 522.1 meV per atom
uncorrected energy: -1.67 eV/atom
spin magnetization: 0.000 μB per atom
D(E_F): 1.78 states/eV/cell
energy relative to the elements: 5.54 eV per formula unit

a b c (Å): 4.6478 4.6478 4.6478
angles (deg): 90.00 90.00 90.00
Fractional positions:
Hg  0.5000  0.5000  0.5000
Na  0.0000  0.0000  0.0000
Cu  0.5000  0.0000  0.0000
Cu  0.0000  0.5000  0.0000
Cu  0.0000  0.0000  0.5000